Record 1
Compound: LiCoBi3
Source: Alexandria via LeMat-Bulk
Functional: PBE
Structure: relaxed

Summary:
Formation energy = 230 meV per atom
Theoretical density = 8.224 Mg/m³
Relative energy among the computed polymorphs = 0.0000 eV per atom
Symmetry = Pm-3m

Unit cell a=5.191 b=5.191 c=5.191 alpha=90.00 beta=90.00 gamma=90.00
Fractional coordinates of all 5 atoms:
Li: 0.000 0.000 0.000
Co: 0.500 0.500 0.500
Bi: 0.000 0.500 0.500
Bi: 0.500 0.000 0.500
Bi: 0.500 0.500 0.000

---

Record 2
Compound: Li2Co2Bi
Source: Alexandria via LeMat-Bulk
Functional: PBE
Structure: relaxed

Summary:
Formation energy = 232 meV per atom
Theoretical density = 6.794 Mg/m³
Symmetry = P4/mbm

Unit cell a=6.506 b=6.506 c=3.935 alpha=90.00 beta=90.00 gamma=90.00
Fractional coordinates of all 10 atoms:
Li: 0.164 0.336 0.000
Li: 0.336 0.836 0.000
Li: 0.664 0.164 0.000
Li: 0.836 0.664 0.000
Co: 0.119 0.619 0.500
Co: 0.381 0.119 0.500
Co: 0.619 0.881 0.500
Co: 0.881 0.381 0.500
Bi: 0.000 0.000 0.500
Bi: 0.500 0.500 0.500

---

Record 3
Compound: LiCoBi2
Source: Alexandria via LeMat-Bulk
Functional: PBE
Structure: relaxed

Summary:
Formation energy = 156 meV per atom
Theoretical density = 8.153 Mg/m³
Relative energy among the computed polymorphs = 0.0747 eV per atom
Symmetry = I-42d

Unit cell a=6.762 b=6.762 c=6.762 alpha=97.83 beta=97.83 gamma=136.69
Fractional coordinates of all 8 atoms:
Li: 0.000 0.000 0.000
Li: 0.750 0.250 0.500
Co: 0.250 0.750 0.500
Co: 0.500 0.500 0.000
Bi: 0.249 0.625 0.124
Bi: 0.375 0.499 0.624
Bi: 0.501 0.125 0.876
Bi: 0.875 0.751 0.376

---

> Which of these has the highest theoretical density?

LiCoBi3

---

> The lowest formation energy belongs to which entry?

LiCoBi2